VASP calculation (PBE-GGA) on Nd3Sn4Ir4 after structural relaxation.

Cell lengths 13.9984, 13.9984, 13.9984 Å; angles 162.82, 161.49, 25.36 degrees
With the nearest neighbours (Å) after each atom.
Positions (direct):
Ir (0.2524, 0.2524, 0.0000)  4 Sn 2.61-2.67
Ir (0.7476, 0.7476, 0.0000)  4 Sn 2.61-2.67
Ir (0.9004, 0.4004, 0.5000)  3 Sn 2.61
Ir (0.0996, 0.5996, 0.5000)  3 Sn 2.61
Nd (0.0000, 0.0000, 0.0000)  8 Sn 3.38, 4 Ir 3.43
Nd (0.6458, 0.1458, 0.5000)  6 Sn 3.32-3.35, 8 Ir 3.32-3.68
Nd (0.3542, 0.8542, 0.5000)  6 Sn 3.32-3.35, 8 Ir 3.32-3.68
Sn (0.4485, 0.4485, 0.0000)  2 Ir 2.61, 1 Sn 2.81
Sn (0.5515, 0.5515, 0.0000)  2 Ir 2.61, 1 Sn 2.81
Sn (0.8049, 0.3049, 0.5000)  5 Ir 2.61-2.67
Sn (0.1951, 0.6951, 0.5000)  5 Ir 2.61-2.67

***

VASP calculation (PBE-GGA) on Nd3Sn13Ir4 after structural relaxation.

Cell lengths 9.7970, 9.7970, 9.7970 Å; angles 90.00, 90.00, 90.00 degrees
With the nearest neighbours (Å) after each atom.
Positions (direct):
Ir (0.2500, 0.2500, 0.2500)  6 Sn 2.69
Ir (0.7500, 0.2500, 0.2500)  6 Sn 2.69
Ir (0.2500, 0.7500, 0.2500)  6 Sn 2.69
Ir (0.7500, 0.7500, 0.2500)  6 Sn 2.69
Ir (0.2500, 0.2500, 0.7500)  6 Sn 2.69
Ir (0.7500, 0.2500, 0.7500)  6 Sn 2.69
Ir (0.2500, 0.7500, 0.7500)  6 Sn 2.69
Ir (0.7500, 0.7500, 0.7500)  6 Sn 2.69
Nd (0.5000, 0.2500, 0.0000)  12 Sn 3.43-3.46, 4 Ir 3.46
Nd (0.5000, 0.7500, 0.0000)  12 Sn 3.43-3.46, 4 Ir 3.46
Nd (0.0000, 0.5000, 0.2500)  12 Sn 3.43-3.46, 4 Ir 3.46
Nd (0.2500, 0.0000, 0.5000)  12 Sn 3.43-3.46, 4 Ir 3.46
Nd (0.7500, 0.0000, 0.5000)  12 Sn 3.43-3.46, 4 Ir 3.46
Nd (0.0000, 0.5000, 0.7500)  12 Sn 3.43-3.46, 4 Ir 3.46
Sn (0.0000, 0.0000, 0.0000)  12 Sn 3.35
Sn (0.1519, 0.3069, 0.0000)  2 Ir 2.69, 1 Sn 2.98
Sn (0.8481, 0.3069, 0.0000)  2 Ir 2.69, 1 Sn 2.98
Sn (0.1519, 0.6931, 0.0000)  2 Ir 2.69, 1 Sn 2.98
Sn (0.8481, 0.6931, 0.0000)  2 Ir 2.69, 1 Sn 2.98
Sn (0.3069, 0.0000, 0.1519)  2 Ir 2.69, 1 Sn 2.98
Sn (0.6931, 0.0000, 0.1519)  2 Ir 2.69, 1 Sn 2.98
Sn (0.3481, 0.5000, 0.1931)  2 Ir 2.69, 1 Sn 2.98
Sn (0.6519, 0.5000, 0.1931)  2 Ir 2.69, 1 Sn 2.98
Sn (0.0000, 0.1519, 0.3069)  2 Ir 2.69, 1 Sn 2.98
Sn (0.0000, 0.8481, 0.3069)  2 Ir 2.69, 1 Sn 2.98
Sn (0.5000, 0.1931, 0.3481)  2 Ir 2.69, 1 Sn 2.98
Sn (0.5000, 0.8069, 0.3481)  2 Ir 2.69, 1 Sn 2.98
Sn (0.1931, 0.3481, 0.5000)  2 Ir 2.69, 1 Sn 2.98
Sn (0.8069, 0.3481, 0.5000)  2 Ir 2.69, 1 Sn 2.98
Sn (0.5000, 0.5000, 0.5000)  12 Sn 3.35
Sn (0.1931, 0.6519, 0.5000)  2 Ir 2.69, 1 Sn 2.98
Sn (0.8069, 0.6519, 0.5000)  2 Ir 2.69, 1 Sn 2.98
Sn (0.5000, 0.1931, 0.6519)  2 Ir 2.69, 1 Sn 2.98
Sn (0.5000, 0.8069, 0.6519)  2 Ir 2.69, 1 Sn 2.98
Sn (0.0000, 0.1519, 0.6931)  2 Ir 2.69, 1 Sn 2.98
Sn (0.0000, 0.8481, 0.6931)  2 Ir 2.69, 1 Sn 2.98
Sn (0.3481, 0.5000, 0.8069)  2 Ir 2.69, 1 Sn 2.98
Sn (0.6519, 0.5000, 0.8069)  2 Ir 2.69, 1 Sn 2.98
Sn (0.3069, 0.0000, 0.8481)  2 Ir 2.69, 1 Sn 2.98
Sn (0.6931, 0.0000, 0.8481)  2 Ir 2.69, 1 Sn 2.98

***

VASP calculation (PBE-GGA) on SrNdIr after structural relaxation.

Cell lengths 5.0297, 5.0297, 5.0297 Å; angles 60.00, 60.00, 60.00 degrees
With the nearest neighbours (Å) after each atom.
Positions (direct):
Ir (0.0000, 0.0000, 0.0000)  4 Nd 3.08, 4 Sr 3.08
Nd (0.7500, 0.7500, 0.7500)  4 Ir 3.08
Sr (0.2500, 0.2500, 0.2500)  4 Ir 3.08

***

no.,total energy (hartree per atom)
1,-0.240
2,-0.206
3,-0.199